VASP calculation (PBE+U) on a geometry-optimized Li7CoO4F2 structure.

Values from the calculation:
ρ   2.44 g cm⁻³
Electronic total energy   -4.8822 eV per atom
Energy above the lowest structure with this stoichiometry   109.3 meV per atom
Fermi-level density of states   0.0000 states/eV/atom

Structure (POSCAR):
```
Li7CoO4F2
1.0
-5.601 -0.105 -0.289
2.476 4.830 -0.268
-1.240 -1.518 -10.587
Li Co F O
14 2 4 8
Direct
0.141 0.836 0.121
0.971 0.395 0.322
0.091 0.108 0.775
0.972 0.548 0.888
0.435 0.674 0.020
0.412 0.172 0.915
0.539 0.985 0.216
0.738 0.542 0.617
0.970 0.022 0.559
0.561 0.040 0.678
0.531 0.387 0.153
0.885 0.136 0.030
0.405 0.587 0.776
0.427 0.128 0.454
0.756 0.716 0.362
0.282 0.609 0.524
0.706 0.375 0.771
0.242 0.858 0.789
0.762 0.871 0.718
0.248 0.594 0.197
0.605 0.332 0.310
0.853 0.917 0.197
0.634 0.946 0.493
0.190 0.373 0.915
0.797 0.734 0.072
0.035 0.710 0.474
0.501 0.062 0.050
0.310 0.342 0.604
```